A plane-wave DFT calculation with PBE was carried out for crystalline CeTh3O8 at its relaxed geometry.

The structure in POSCAR format:
```
CeTh3O8
1.0
-7.862 -0.318 10.439
-9.324 -3.432 8.495
-6.181 -3.871 10.848
O Th Ce
8 3 1
Direct
0.812 0.812 0.812
0.314 0.314 0.314
0.563 0.563 0.563
0.686 0.686 0.686
0.939 0.939 0.939
0.188 0.188 0.188
0.061 0.061 0.061
0.437 0.437 0.437
0.251 0.251 0.251
0.500 0.500 0.500
0.749 0.749 0.749
0.000 0.000 0.000
```

Properties
- Electronic total energy: -113.29 eV/cell
- Total magnetization: 0.0 Bohr magnetons per cell

A plane-wave DFT calculation with PBE was carried out for crystalline Zn2CoMo at its relaxed geometry.

The structure in POSCAR format:
```
Zn2CoMo
1.0
6.853 0.000 0.000
0.000 6.853 0.000
3.427 3.427 2.469
Mo Zn Co
2 4 2
Direct
0.750 0.250 0.500
0.000 0.000 0.000
0.598 0.125 0.250
0.875 0.848 0.750
0.375 0.402 0.750
0.152 0.625 0.250
0.500 0.500 0.000
0.250 0.750 0.500
```

Properties
- Energy relative to the elements: 0.53 eV/atom
- Electronic total energy: -36.69 eV/cell
- Total magnetization: 0.0 Bohr magnetons per cell

A plane-wave DFT calculation with PBE was carried out for crystalline TbAl2Au at its relaxed geometry.

The structure in POSCAR format:
```
TbAl2Au
1.0
-2.432 -0.528 -3.514
-1.940 -3.357 1.847
-2.966 2.627 1.658
Au Al Tb
1 2 1
Direct
0.500 0.000 0.000
0.000 0.500 0.000
0.000 0.000 0.500
0.500 0.500 0.500
```

Properties
- Energy relative to the elements: -0.51 eV/atom
- Electronic total energy: -17.42 eV/cell
- Total magnetization: 0.0 Bohr magnetons per cell

A plane-wave DFT calculation with PBE was carried out for crystalline Nd5PuPt4 at its relaxed geometry.

The structure in POSCAR format:
```
Nd5PuPt4
1.0
4.255 0.000 0.000
0.000 8.010 -0.621
-2.128 -1.795 8.855
Pt Nd Pu
4 5 1
Direct
0.329 0.881 0.659
0.998 0.751 0.996
0.671 0.119 0.341
0.002 0.249 0.004
0.834 0.133 0.668
0.167 0.357 0.334
0.500 0.500 0.000
0.833 0.643 0.666
0.166 0.867 0.332
0.500 0.000 0.000
```

Properties
- Energy relative to the elements: -0.78 eV/atom
- Electronic total energy: -70.15 eV/cell
- Total magnetization: 5.6 Bohr magnetons per cell

A plane-wave DFT calculation with PBE was carried out for crystalline SmDy2YTm5 at its relaxed geometry.

The structure in POSCAR format:
```
SmDy2YTm5
1.0
8.839 0.000 0.000
0.000 8.839 0.000
-4.419 -4.419 7.301
Dy Tm Sm Y
4 10 2 2
Direct
0.613 0.113 0.000
0.387 0.887 0.000
0.113 0.387 0.000
0.887 0.613 0.000
0.574 0.661 0.735
0.839 0.926 0.265
0.339 0.839 0.265
0.426 0.339 0.265
0.926 0.426 0.265
0.161 0.074 0.735
0.661 0.161 0.735
0.074 0.574 0.735
0.000 0.000 0.000
0.500 0.500 0.000
0.750 0.750 0.500
0.250 0.250 0.500
0.250 0.750 0.500
0.750 0.250 0.500
```

Properties
- Energy relative to the elements: 0.29 eV/atom
- Electronic total energy: -80.24 eV/cell
- Total magnetization: 0.0 Bohr magnetons per cell

A plane-wave DFT calculation with PBE was carried out for crystalline KRbCdAu at its relaxed geometry.

The structure in POSCAR format:
```
KRbCdAu
1.0
-1.749 -5.683 -0.573
3.119 -4.365 2.628
-2.295 -2.905 4.688
Rb K Cd Au
1 1 1 1
Direct
0.500 0.500 0.500
0.000 0.000 0.000
0.750 0.750 0.750
0.250 0.250 0.250
```

Properties
- Energy relative to the elements: -0.10 eV/atom
- Electronic total energy: -6.67 eV/cell
- Total magnetization: 0.0 Bohr magnetons per cell

A plane-wave DFT calculation with PBE was carried out for crystalline Ca2NpCdO6 at its relaxed geometry.

The structure in POSCAR format:
```
Ca2NpCdO6
1.0
5.822 0.000 0.000
2.911 5.042 0.000
2.911 1.681 5.018
Ca O Np Cd
2 6 1 1
Direct
0.026 0.026 0.921
0.535 0.535 0.396
0.117 0.430 0.779
0.673 0.117 0.779
0.201 0.969 0.250
0.430 0.673 0.779
0.969 0.580 0.250
0.580 0.201 0.250
0.320 0.320 0.041
0.810 0.810 0.570
```

Properties
- Electronic total energy: -73.70 eV/cell
- Total magnetization: 1.0 Bohr magnetons per cell

A plane-wave DFT calculation with PBE was carried out for crystalline HfAl2 at its relaxed geometry.

The structure in POSCAR format:
```
HfAl2
1.0
-3.150 2.236 -3.557
-1.988 -1.761 4.530
1.409 7.780 3.644
Al Hf
8 4
Direct
0.829 0.658 0.250
0.829 0.171 0.250
0.171 0.342 0.750
0.171 0.829 0.750
0.000 0.000 0.500
0.342 0.171 0.250
0.658 0.829 0.750
0.000 0.000 0.000
0.333 0.667 0.065
0.333 0.667 0.435
0.667 0.333 0.565
0.667 0.333 0.935
```

Properties
- Energy relative to the elements: -0.45 eV/atom
- Electronic total energy: -75.10 eV/cell
- Total magnetization: 0.0 Bohr magnetons per cell